# 1
This record from Alexandria describes a relaxed TaInNiC crystal. The functional is GGA-PBE.

- excess energy over the best structure of this formula in the dataset (eV/f.u.) = 1.48
- total energy (eV per cell) = -85.5
- crystal system = trigonal

```
data_TaInNiC
_chemical_formula_sum 'Ta3 In3 Ni3 C3'
_symmetry_space_group_name_H-M 'R 3 m'
_symmetry_Int_Tables_number 160
_symmetry_space_group_name_Hall 'R 3 -2"'
_cell_length_a 3.1595
_cell_length_b 3.1595
_cell_length_c 20.8303
_cell_angle_alpha 90.00
_cell_angle_beta 90.00
_cell_angle_gamma 120.00
loop_
_atom_site_label
_atom_site_type_symbol
_atom_site_fract_x
_atom_site_fract_y
_atom_site_fract_z
Ta1 Ta 0.0000 0.0000 0.0000
In1 In 0.0000 0.0000 0.8575
Ni1 Ni 0.0000 0.0000 0.4290
C1 C 0.0000 0.0000 0.6152
```

# 2
This record from Alexandria describes a relaxed Ce2P2Cl crystal. The functional is GGA-PBE.

- excess energy over the best structure of this formula in the dataset (eV/f.u.) = 0.93
- uncorrected formation energy (eV per formula unit) = -5.7
- total energy (eV per cell) = -60.5
- crystal system = monoclinic

```
data_Ce2P2Cl
_chemical_formula_sum 'Ce4 P4 Cl2'
_symmetry_space_group_name_H-M 'C 1 2/m 1'
_symmetry_Int_Tables_number 12
_symmetry_space_group_name_Hall '-C 2y'
_cell_length_a 7.329
_cell_length_b 5.212
_cell_length_c 6.907
_cell_angle_alpha 90.00
_cell_angle_beta 105.95
_cell_angle_gamma 90.00
loop_
_atom_site_label
_atom_site_type_symbol
_atom_site_fract_x
_atom_site_fract_y
_atom_site_fract_z
Ce1 Ce 0.205 0.000 0.247
P1 P 0.000 0.219 0.500
Cl1 Cl 0.000 0.500 0.000
```

# 3
This record from Alexandria describes a relaxed ScUIr2 crystal. The functional is GGA-PBE.

- total energy (eV per cell) = -38.1
- crystal system = tetragonal

```
data_ScUIr2
_chemical_formula_sum 'Sc1 U1 Ir2'
_symmetry_space_group_name_H-M 'P 4/m m m'
_symmetry_Int_Tables_number 123
_symmetry_space_group_name_Hall '-P 4 2'
_cell_length_a 3.105
_cell_length_b 3.105
_cell_length_c 7.448
_cell_angle_alpha 90.00
_cell_angle_beta 90.00
_cell_angle_gamma 90.00
loop_
_atom_site_label
_atom_site_type_symbol
_atom_site_fract_x
_atom_site_fract_y
_atom_site_fract_z
Sc1 Sc 0.000 0.000 0.000
U1 U 0.000 0.000 0.500
Ir1 Ir 0.500 0.500 0.235
```

# 4
This record from Alexandria describes a relaxed LiTb4Rh2 crystal. The functional is GGA-PBE.

- total energy (eV per cell) = -77.2
- crystal system = triclinic

```
data_LiTb4Rh2
_chemical_formula_sum 'Li2 Tb8 Rh4'
_symmetry_space_group_name_H-M 'P 1'
_symmetry_Int_Tables_number 1
_symmetry_space_group_name_Hall 'P 1'
_cell_length_a 6.747
_cell_length_b 6.993
_cell_length_c 8.337
_cell_angle_alpha 110.53
_cell_angle_beta 107.98
_cell_angle_gamma 97.96
loop_
_atom_site_label
_atom_site_type_symbol
_atom_site_fract_x
_atom_site_fract_y
_atom_site_fract_z
Li1 Li 0.000 0.000 0.000
Li2 Li 0.147 0.830 0.639
Tb1 Tb 0.053 0.562 0.835
Tb2 Tb 0.318 0.675 0.297
Tb3 Tb 0.376 0.209 0.362
Tb4 Tb 0.427 0.240 0.954
Tb5 Tb 0.533 0.621 0.786
Tb6 Tb 0.763 0.069 0.670
Tb7 Tb 0.817 0.766 0.262
Tb8 Tb 0.873 0.296 0.336
Rh1 Rh 0.160 0.197 0.599
Rh2 Rh 0.454 0.902 0.088
Rh3 Rh 0.709 0.621 0.524
Rh4 Rh 0.912 0.384 0.041
```

# 5
This record from Alexandria describes a relaxed BeFe2Co crystal. The functional is GGA-PBE.

- total energy (eV per cell) = -28.0
- crystal system = orthorhombic

```
data_BeFe2Co
_chemical_formula_sum 'Be1 Fe2 Co1'
_symmetry_space_group_name_H-M 'P m m m'
_symmetry_Int_Tables_number 47
_symmetry_space_group_name_Hall '-P 2 2'
_cell_length_a 2.811
_cell_length_b 3.823
_cell_length_c 3.852
_cell_angle_alpha 90.00
_cell_angle_beta 90.00
_cell_angle_gamma 90.00
loop_
_atom_site_label
_atom_site_type_symbol
_atom_site_fract_x
_atom_site_fract_y
_atom_site_fract_z
Be1 Be 0.000 0.000 0.000
Fe1 Fe 0.000 0.500 0.500
Fe2 Fe 0.500 0.000 0.500
Co1 Co 0.500 0.500 0.000
```

# 6
This record from Alexandria describes a relaxed CsLi2Tl crystal. The functional is GGA-PBE.

- excess energy over the best structure of this formula in the dataset (eV/f.u.) = 0.91
- total energy (eV per cell) = -25.5
- crystal system = cubic

```
data_CsLi2Tl
_chemical_formula_sum 'Cs4 Li8 Tl4'
_symmetry_space_group_name_H-M 'F m -3 m'
_symmetry_Int_Tables_number 225
_symmetry_space_group_name_Hall '-F 4 2 3'
_cell_length_a 8.205
_cell_length_b 8.205
_cell_length_c 8.205
_cell_angle_alpha 90.00
_cell_angle_beta 90.00
_cell_angle_gamma 90.00
loop_
_atom_site_label
_atom_site_type_symbol
_atom_site_fract_x
_atom_site_fract_y
_atom_site_fract_z
Cs1 Cs 0.000 0.000 0.000
Li1 Li 0.250 0.250 0.250
Tl1 Tl 0.000 0.000 0.500
```

# 7
This record from Alexandria describes a relaxed Ac2H3N crystal. The functional is GGA-PBE.

- total energy (eV per cell) = -27.7
- crystal system = trigonal

```
data_Ac2H3N
_chemical_formula_sum 'Ac2 H3 N1'
_symmetry_space_group_name_H-M 'P -3 m 1'
_symmetry_Int_Tables_number 164
_symmetry_space_group_name_Hall '-P 3 2"'
_cell_length_a 4.3675
_cell_length_b 4.3675
_cell_length_c 6.5543
_cell_angle_alpha 90.00
_cell_angle_beta 90.00
_cell_angle_gamma 120.00
loop_
_atom_site_label
_atom_site_type_symbol
_atom_site_fract_x
_atom_site_fract_y
_atom_site_fract_z
Ac1 Ac 0.3333 0.6667 0.2799
H1 H 0.0000 0.5000 0.0000
N1 N 0.0000 0.0000 0.5000
```

# 8
This record from Alexandria describes a relaxed NbSnIr3 crystal. The functional is GGA-PBE.

- excess energy over the best structure of this formula in the dataset (eV/f.u.) = 0.00
- total energy (eV per cell) = -34.3
- crystal system = cubic

```
data_NbSnIr3
_chemical_formula_sum 'Nb1 Sn1 Ir3'
_symmetry_space_group_name_H-M 'P m -3 m'
_symmetry_Int_Tables_number 221
_symmetry_space_group_name_Hall '-P 4 2 3'
_cell_length_a 4.826
_cell_length_b 4.826
_cell_length_c 4.826
_cell_angle_alpha 90.00
_cell_angle_beta 90.00
_cell_angle_gamma 90.00
loop_
_atom_site_label
_atom_site_type_symbol
_atom_site_fract_x
_atom_site_fract_y
_atom_site_fract_z
Nb1 Nb 0.000 0.000 0.000
Sn1 Sn 0.500 0.500 0.500
Ir1 Ir 0.000 0.000 0.500
```

# 9
This record from Alexandria describes a relaxed Mg4RhW crystal. The functional is GGA-PBE.

- total energy (eV per cell) = -92.1
- crystal system = cubic

```
data_Mg4RhW
_chemical_formula_sum 'Mg16 Rh4 W4'
_symmetry_space_group_name_H-M 'F -4 3 m'
_symmetry_Int_Tables_number 216
_symmetry_space_group_name_Hall 'F -4 2 3'
_cell_length_a 7.549
_cell_length_b 7.549
_cell_length_c 7.549
_cell_angle_alpha 90.00
_cell_angle_beta 90.00
_cell_angle_gamma 90.00
loop_
_atom_site_label
_atom_site_type_symbol
_atom_site_fract_x
_atom_site_fract_y
_atom_site_fract_z
Mg1 Mg 0.125 0.125 0.125
Rh1 Rh 0.250 0.250 0.750
W1 W 0.000 0.000 0.500
```

# 10
This record from Alexandria describes a relaxed AcPuCuBi crystal. The functional is GGA-PBE.

- total energy (eV per cell) = -108.5
- crystal system = cubic

```
data_AcPuCuBi
_chemical_formula_sum 'Ac4 Pu4 Cu4 Bi4'
_symmetry_space_group_name_H-M 'F -4 3 m'
_symmetry_Int_Tables_number 216
_symmetry_space_group_name_Hall 'F -4 2 3'
_cell_length_a 7.791
_cell_length_b 7.791
_cell_length_c 7.791
_cell_angle_alpha 90.00
_cell_angle_beta 90.00
_cell_angle_gamma 90.00
loop_
_atom_site_label
_atom_site_type_symbol
_atom_site_fract_x
_atom_site_fract_y
_atom_site_fract_z
Ac1 Ac 0.000 0.000 0.000
Pu1 Pu 0.000 0.000 0.500
Cu1 Cu 0.250 0.250 0.250
Bi1 Bi 0.250 0.250 0.750
```

# 11
This record from Alexandria describes a relaxed AlFe12Co6 crystal. The functional is GGA-PBE.

- total energy (eV per cell) = -418.5
- crystal system = trigonal

```
data_AlFe12Co6
_chemical_formula_sum 'Al3 Fe36 Co18'
_symmetry_space_group_name_H-M 'R -3 m'
_symmetry_Int_Tables_number 166
_symmetry_space_group_name_Hall '-R 3 2"'
_cell_length_a 9.2213
_cell_length_b 9.2213
_cell_length_c 10.6762
_cell_angle_alpha 90.00
_cell_angle_beta 90.00
_cell_angle_gamma 120.00
loop_
_atom_site_label
_atom_site_type_symbol
_atom_site_fract_x
_atom_site_fract_y
_atom_site_fract_z
Al1 Al 0.0000 0.0000 0.0000
Fe1 Fe 0.0000 0.3673 0.5000
Fe2 Fe 0.0948 0.1896 0.3885
Co1 Co 0.0178 0.5089 0.6859
```

# 12
This record from Alexandria describes a relaxed ScAlAu4 crystal. The functional is GGA-PBE.

- total energy (eV per cell) = -98.2
- crystal system = cubic

```
data_ScAlAu4
_chemical_formula_sum 'Sc4 Al4 Au16'
_symmetry_space_group_name_H-M 'F -4 3 m'
_symmetry_Int_Tables_number 216
_symmetry_space_group_name_Hall 'F -4 2 3'
_cell_length_a 7.757
_cell_length_b 7.757
_cell_length_c 7.757
_cell_angle_alpha 90.00
_cell_angle_beta 90.00
_cell_angle_gamma 90.00
loop_
_atom_site_label
_atom_site_type_symbol
_atom_site_fract_x
_atom_site_fract_y
_atom_site_fract_z
Sc1 Sc 0.000 0.000 0.000
Al1 Al 0.250 0.250 0.750
Au1 Au 0.125 0.125 0.375
```

# 13
This record from Alexandria describes a relaxed Ac3CuP2Pd9 crystal. The functional is GGA-PBE.

- total energy (eV per cell) = -84.4
- crystal system = trigonal

```
data_Ac3CuP2Pd9
_chemical_formula_sum 'Ac3 Cu1 P2 Pd9'
_symmetry_space_group_name_H-M 'P -3 m 1'
_symmetry_Int_Tables_number 164
_symmetry_space_group_name_Hall '-P 3 2"'
_cell_length_a 6.1529
_cell_length_b 6.1529
_cell_length_c 9.6442
_cell_angle_alpha 90.00
_cell_angle_beta 90.00
_cell_angle_gamma 120.00
loop_
_atom_site_label
_atom_site_type_symbol
_atom_site_fract_x
_atom_site_fract_y
_atom_site_fract_z
Ac1 Ac 0.0000 0.0000 0.0000
Ac2 Ac 0.3333 0.6667 0.6331
Cu1 Cu 0.0000 0.0000 0.5000
P1 P 0.3333 0.6667 0.1616
Pd1 Pd 0.0000 0.5000 0.0000
Pd2 Pd 0.1563 0.3125 0.2999
```

# 14
This record from Alexandria describes a relaxed Cs2KAgSe crystal. The functional is GGA-PBE.

- uncorrected formation energy (eV per formula unit) = -2.6
- total energy (eV per cell) = -11.7
- crystal system = tetragonal

```
data_Cs2KAgSe
_chemical_formula_sum 'Cs2 K1 Ag1 Se1'
_symmetry_space_group_name_H-M 'P 4/m m m'
_symmetry_Int_Tables_number 123
_symmetry_space_group_name_Hall '-P 4 2'
_cell_length_a 6.951
_cell_length_b 6.951
_cell_length_c 6.220
_cell_angle_alpha 90.00
_cell_angle_beta 90.00
_cell_angle_gamma 90.00
loop_
_atom_site_label
_atom_site_type_symbol
_atom_site_fract_x
_atom_site_fract_y
_atom_site_fract_z
Cs1 Cs 0.000 0.500 0.000
K1 K 0.000 0.000 0.500
Ag1 Ag 0.500 0.500 0.500
Se1 Se 0.000 0.000 0.000
```

# 15
This record from Alexandria describes a relaxed TbCe2Zn2Si2 crystal. The functional is GGA-PBE.

- uncorrected formation energy (eV per formula unit) = -2.9
- total energy (eV per cell) = -98.4
- crystal system = trigonal

```
data_TbCe2Zn2Si2
_chemical_formula_sum 'Tb3 Ce6 Zn6 Si6'
_symmetry_space_group_name_H-M 'R -3 m'
_symmetry_Int_Tables_number 166
_symmetry_space_group_name_Hall '-R 3 2"'
_cell_length_a 4.2257
_cell_length_b 4.2257
_cell_length_c 27.5176
_cell_angle_alpha 90.00
_cell_angle_beta 90.00
_cell_angle_gamma 120.00
loop_
_atom_site_label
_atom_site_type_symbol
_atom_site_fract_x
_atom_site_fract_y
_atom_site_fract_z
Tb1 Tb 0.0000 0.0000 0.0000
Ce1 Ce 0.0000 0.0000 0.1407
Zn1 Zn 0.0000 0.0000 0.4024
Si1 Si 0.0000 0.0000 0.2637
```

# 16
This record from Alexandria describes a relaxed LiTaNi4 crystal. The functional is GGA-PBE.

- excess energy over the best structure of this formula in the dataset (eV/f.u.) = 0.00
- total energy (eV per cell) = -152.0
- crystal system = cubic

```
data_LiTaNi4
_chemical_formula_sum 'Li4 Ta4 Ni16'
_symmetry_space_group_name_H-M 'F -4 3 m'
_symmetry_Int_Tables_number 216
_symmetry_space_group_name_Hall 'F -4 2 3'
_cell_length_a 6.661
_cell_length_b 6.661
_cell_length_c 6.661
_cell_angle_alpha 90.00
_cell_angle_beta 90.00
_cell_angle_gamma 90.00
loop_
_atom_site_label
_atom_site_type_symbol
_atom_site_fract_x
_atom_site_fract_y
_atom_site_fract_z
Li1 Li 0.000 0.000 0.000
Ta1 Ta 0.250 0.250 0.750
Ni1 Ni 0.125 0.125 0.375
```

# 17
This record from Alexandria describes a relaxed Na2MnAgCl8 crystal. The functional is GGA-PBE.

- uncorrected formation energy (eV per formula unit) = -12.1
- total energy (eV per cell) = -41.6
- crystal system = triclinic

```
data_Na2MnAgCl8
_chemical_formula_sum 'Na2 Mn1 Ag1 Cl8'
_symmetry_space_group_name_H-M 'P -1'
_symmetry_Int_Tables_number 2
_symmetry_space_group_name_Hall '-P 1'
_cell_length_a 6.588
_cell_length_b 6.904
_cell_length_c 7.942
_cell_angle_alpha 74.62
_cell_angle_beta 77.77
_cell_angle_gamma 70.86
loop_
_atom_site_label
_atom_site_type_symbol
_atom_site_fract_x
_atom_site_fract_y
_atom_site_fract_z
Na1 Na 0.080 0.146 0.201
Mn1 Mn 0.500 0.500 0.000
Ag1 Ag 0.500 0.500 0.500
Cl1 Cl 0.212 0.823 0.489
Cl2 Cl 0.262 0.830 0.973
Cl3 Cl 0.275 0.392 0.888
Cl4 Cl 0.327 0.403 0.279
```

# 18
This record from Alexandria describes a relaxed Mg6InAg10 crystal. The functional is GGA-PBE.

- total energy (eV per cell) = -43.3
- crystal system = trigonal

```
data_Mg6InAg10
_chemical_formula_sum 'Mg6 In1 Ag10'
_symmetry_space_group_name_H-M 'P -3 1 m'
_symmetry_Int_Tables_number 162
_symmetry_space_group_name_Hall '-P 3 2'
_cell_length_a 8.0727
_cell_length_b 8.0727
_cell_length_c 5.7148
_cell_angle_alpha 90.00
_cell_angle_beta 90.00
_cell_angle_gamma 120.00
loop_
_atom_site_label
_atom_site_type_symbol
_atom_site_fract_x
_atom_site_fract_y
_atom_site_fract_z
Mg1 Mg 0.0000 0.3644 0.3041
In1 In 0.0000 0.0000 0.5000
Ag1 Ag 0.0000 0.2944 0.8240
Ag2 Ag 0.3333 0.6667 0.0000
Ag3 Ag 0.3333 0.6667 0.5000
```

# 19
This record from Alexandria describes a relaxed MoS crystal. The functional is GGA-PBE.

- excess energy over the best structure of this formula in the dataset (eV/f.u.) = 0.00
- uncorrected formation energy (eV per formula unit) = -0.9
- total energy (eV per cell) = -95.2
- crystal system = orthorhombic

```
data_MoS
_chemical_formula_sum 'Mo6 S6'
_symmetry_space_group_name_H-M 'P m m n'
_symmetry_Int_Tables_number 59
_cell_length_a 3.164
_cell_length_b 11.402
_cell_length_c 5.603
_cell_angle_alpha 90.00
_cell_angle_beta 90.00
_cell_angle_gamma 90.00
loop_
_symmetry_equiv_pos_as_xyz
'x,y,z'
'-x,-y,-z'
'-x+1/2,-y+1/2,z'
'x+1/2,y+1/2,-z'
'x+1/2,-y,-z'
'-x+1/2,y,z'
'-x,y+1/2,-z'
'x,-y+1/2,z'
loop_
_atom_site_label
_atom_site_type_symbol
_atom_site_fract_x
_atom_site_fract_y
_atom_site_fract_z
Mo1 Mo 0.250 0.121 0.002
Mo2 Mo 0.250 0.750 0.690
S1 S 0.250 0.250 0.655
S2 S 0.250 0.541 0.719
```